This record from Alexandria via LeMat-Bulk describes an optimized crystal structure of Li4PbAu5. The functional is PBE-GGA.

- Uncorrected energy: -0.2362 Ry per atom
- V: 17.2 Å³ per atom
- Spin magnetization: 0.0 μB/f.u.
- DFT formation energy: -42 kJ per mole of atoms

CIF file:
```
data_Li4PbAu5
_chemical_formula_sum 'Li4 Pb1 Au5'
_cell_length_a 3.273
_cell_length_b 3.273
_cell_length_c 16.058
_cell_angle_alpha 90.00
_cell_angle_beta 90.00
_cell_angle_gamma 90.00
_space_group_name_H-M_alt 'P 4/m m m'
_space_group_IT_number 123
_space_group_name_Hall '-P 4 2'
loop_
_atom_site_label
_atom_site_fract_x
_atom_site_fract_y
_atom_site_fract_z
Li1 0.000 0.000 0.092
Li2 0.000 0.000 0.276
Pb1 0.000 0.000 0.500
Au1 0.500 0.500 0.000
Au2 0.500 0.500 0.181
Au3 0.500 0.500 0.362
```